Record 1
## Pr2HoTm3Bi6 (GGA-PBE)

Data for crystalline Pr2HoTm3Bi6 at its relaxed geometry.

abc: 4.512 9.014 10.075
angles: 102.81 102.94 90.00
Sites, in units of the cell vectors:
Tm1 0.500 0.500 0.000
Bi1 0.664 0.591 0.328
Tm2 0.831 0.166 0.663
Tm3 0.169 0.834 0.337
Ho1 0.500 0.000 0.000
Bi2 0.004 0.751 0.009
Pr1 0.834 0.668 0.669
Pr2 0.166 0.332 0.331
Bi3 0.996 0.249 0.991
Bi4 0.334 0.927 0.667
Bi5 0.666 0.073 0.333
Bi6 0.336 0.409 0.672

Its space group is C2/m (12).

***

Record 2
## Pr2Ho3TmBi6 (GGA-PBE)

Data for crystalline Pr2Ho3TmBi6 at its relaxed geometry.

abc: 4.521 9.033 10.098
angles: 102.89 102.94 90.00
Sites, in units of the cell vectors:
Bi1 0.665 0.074 0.330
Pr1 0.835 0.668 0.669
Bi2 0.996 0.246 0.992
Ho1 0.169 0.834 0.338
Ho2 0.831 0.166 0.662
Tm1 0.500 0.000 0.000
Bi3 0.664 0.590 0.329
Bi4 0.004 0.754 0.008
Ho3 0.500 0.500 0.000
Bi5 0.335 0.926 0.670
Pr2 0.165 0.332 0.331
Bi6 0.336 0.410 0.671

Its space group is C2/m (12).

***

Record 3
## PrHo3Tm2Bi6 (GGA-PBE)

Data for crystalline PrHo3Tm2Bi6 at its relaxed geometry.

abc: 4.484 8.967 10.021
angles: 102.90 102.93 90.00
Sites, in units of the cell vectors:
Bi1 0.667 0.581 0.334
Pr1 0.500 0.000 0.000
Bi2 0.670 0.086 0.341
Bi3 0.330 0.914 0.659
Tm1 0.168 0.333 0.335
Ho1 0.500 0.500 0.000
Bi4 0.998 0.741 0.997
Bi5 0.002 0.259 0.003
Ho2 0.835 0.169 0.671
Bi6 0.333 0.419 0.666
Tm2 0.832 0.667 0.665
Ho3 0.165 0.831 0.329

Its space group is C2/m (12).

***

| no. | electronic total energy (eV per atom) | formation energy from the elements (kJ/mol of formula units) |
| --- | --- | --- |
| 1 | -5.08 | -976 |
| 2 | -5.11 | -997 |
| 3 | -5.06 | -964 |